No. 1
Here is a relaxed HoErPb crystal from Alexandria via LeMat-Bulk. Energies are from PBE.

a b c (Å): 5.271 3.523 9.791
angles (deg): 100.29 90.00 90.00
Fractional coordinates of all 6 atoms:
Er (0.847, 0.599, 0.624)
Pb (0.347, 0.040, 0.508)
Pb (0.847, 0.951, 0.315)
Ho (0.847, 0.782, 0.987)
Er (0.347, 0.391, 0.199)
Ho (0.347, 0.207, 0.837)

Summary:
density of states at the Fermi level	0.76	states/eV/atom
offset from the most stable computed form	79.4	meV/atom
total DFT energy (no corrections)	-26.77	eV/cell
formation energy from the elements	-0.18	eV per atom
SG	No. 11

No. 2
Here is a relaxed Cr2IrCl crystal from Alexandria via LeMat-Bulk. Energies are from PBE.

a b c (Å): 9.683 9.683 9.683
angles (deg): 16.36 16.36 16.36
Fractional coordinates of all 4 atoms:
Ir (0.523, 0.523, 0.523)
Cr (0.999, 0.999, 0.999)
Cr (0.257, 0.257, 0.257)
Cl (0.722, 0.722, 0.722)

Summary:
formation energy without anion corrections	0.192	eV/atom
density of states at the Fermi level	0.70	states/eV/atom
offset from the most stable computed form	115.3	meV/atom
total DFT energy (no corrections)	-29.19	eV/cell
SG	No. 160

No. 3
Here is a relaxed Lu2CdTc crystal from Alexandria via LeMat-Bulk. Energies are from PBE.

a b c (Å): 4.944 4.944 4.944
angles (deg): 60.00 60.00 60.00
Fractional coordinates of all 4 atoms:
Cd (0.250, 0.250, 0.250)
Lu (0.000, 0.000, 0.000)
Lu (0.500, 0.500, 0.500)
Tc (0.750, 0.750, 0.750)

Summary:
density of states at the Fermi level	1.66	states/eV/atom
total DFT energy (no corrections)	-20.94	eV/cell
formation energy from the elements	-0.15	eV per atom
SG	No. 225

No. 4
Here is a relaxed Hf2AlPb crystal from Alexandria via LeMat-Bulk. Energies are from PBE.

a b c (Å): 4.365 4.397 4.397
angles (deg): 90.00 90.00 90.00
Fractional coordinates of all 4 atoms:
Pb (0.500, 0.500, 0.500)
Hf (0.000, 0.000, 0.500)
Al (0.500, 0.000, 0.000)
Hf (0.000, 0.500, 0.000)

Summary:
density of states at the Fermi level	0.59	states/eV/atom
offset from the most stable computed form	0.0	meV/atom
total DFT energy (no corrections)	-27.66	eV/cell
formation energy from the elements	-0.08	eV per atom
SG	No. 123

No. 5
Here is a relaxed Al3Sb crystal from Alexandria via LeMat-Bulk. Energies are from PBE.

a b c (Å): 3.058 3.889 6.699
angles (deg): 90.00 90.00 90.00
Fractional coordinates of all 4 atoms:
Al (0.500, 0.500, 0.284)
Sb (0.000, 0.000, 0.000)
Al (0.000, 0.000, 0.500)
Al (0.500, 0.500, 0.716)

Summary:
formation energy without anion corrections	0.160	eV/atom
density of states at the Fermi level	0.36	states/eV/atom
total DFT energy (no corrections)	-14.71	eV/cell
SG	No. 47

No. 6
Here is a relaxed BaCu2Hg2O4 crystal from Alexandria via LeMat-Bulk. Energies are from PBE.

a b c (Å): 7.005 7.005 6.569
angles (deg): 90.00 90.00 90.00
Fractional coordinates of all 18 atoms:
O (0.791, 0.709, 0.227)
Cu (0.750, 0.750, 0.500)
Ba (0.000, 0.000, 0.000)
Ba (0.500, 0.500, 0.000)
Cu (0.250, 0.250, 0.500)
O (0.291, 0.791, 0.227)
Cu (0.750, 0.250, 0.500)
O (0.209, 0.709, 0.773)
Hg (0.000, 0.500, 0.242)
Hg (0.500, 0.000, 0.758)
O (0.209, 0.291, 0.227)
O (0.791, 0.291, 0.773)
O (0.709, 0.791, 0.773)
Hg (0.500, 0.000, 0.242)
O (0.709, 0.209, 0.227)
O (0.291, 0.209, 0.773)
Cu (0.250, 0.750, 0.500)
Hg (0.000, 0.500, 0.758)

Summary:
formation energy without anion corrections	-0.924	eV/atom
total DFT energy (no corrections)	-77.73	eV/cell
SG	No. 125

No. 7
Here is a relaxed K5Co crystal from Alexandria via LeMat-Bulk. Energies are from PBE.

a b c (Å): 9.477 9.477 6.416
angles (deg): 90.00 90.00 145.29
Fractional coordinates of all 6 atoms:
K (0.344, 0.656, 0.500)
K (0.863, 0.137, 0.000)
K (0.000, 0.000, 0.500)
K (0.656, 0.344, 0.500)
K (0.137, 0.863, 0.000)
Co (0.500, 0.500, 0.000)

Summary:
density of states at the Fermi level	0.65	states/eV/atom
offset from the most stable computed form	0.0	meV/atom
total DFT energy (no corrections)	-9.42	eV/cell
formation energy from the elements	0.53	eV per atom
SG	No. 65

No. 8
Here is a relaxed BC2 crystal from Alexandria via LeMat-Bulk. Energies are from PBE.

a b c (Å): 2.563 4.708 6.314
angles (deg): 97.08 90.00 90.00
Fractional coordinates of all 12 atoms:
C (0.500, 0.821, 0.580)
C (0.500, 0.179, 0.670)
C (0.000, 0.999, 0.243)
C (0.000, 0.328, 0.587)
C (0.000, 0.294, 0.345)
C (0.000, 0.706, 0.905)
C (0.000, 0.001, 0.007)
B (0.500, 0.812, 0.318)
B (0.500, 0.432, 0.241)
B (0.500, 0.568, 0.009)
B (0.500, 0.188, 0.932)
C (0.000, 0.672, 0.663)

Summary:
density of states at the Fermi level	0.15	states/eV/atom
offset from the most stable computed form	83.7	meV/atom
total DFT energy (no corrections)	-96.62	eV/cell
formation energy from the elements	0.32	eV per atom
SG	No. 10

No. 9
Here is a relaxed PrMgNi2 crystal from Alexandria via LeMat-Bulk. Energies are from PBE.

a b c (Å): 3.294 4.701 4.701
angles (deg): 90.00 90.00 90.00
Fractional coordinates of all 4 atoms:
Ni (0.000, 0.000, 0.500)
Mg (0.500, 0.500, 0.500)
Pr (0.500, 0.000, 0.000)
Ni (0.000, 0.500, 0.000)

Summary:
density of states at the Fermi level	0.59	states/eV/atom
total DFT energy (no corrections)	-18.36	eV/cell
formation energy from the elements	-0.11	eV per atom
SG	No. 123

No. 10
Here is a relaxed SrTe2Pb crystal from Alexandria via LeMat-Bulk. Energies are from PBE.

a b c (Å): 8.379 8.379 8.379
angles (deg): 149.84 150.03 43.04
Fractional coordinates of all 4 atoms:
Te (0.294, 0.794, 0.500)
Sr (0.709, 0.209, 0.500)
Pb (0.457, 0.457, 0.000)
Te (0.041, 0.041, 0.000)

Summary:
formation energy without anion corrections	-0.931	eV/atom
total DFT energy (no corrections)	-15.40	eV/cell
SG	No. 44

No. 11
Here is a relaxed ScPOs2 crystal from Alexandria via LeMat-Bulk. Energies are from PBE.

a b c (Å): 2.969 2.969 6.727
angles (deg): 90.00 90.00 90.00
Fractional coordinates of all 4 atoms:
Os (0.000, 0.000, 0.206)
Sc (0.500, 0.500, 0.500)
P (0.500, 0.500, 0.000)
Os (0.000, 0.000, 0.794)

Summary:
density of states at the Fermi level	0.79	states/eV/atom
total DFT energy (no corrections)	-34.99	eV/cell
formation energy from the elements	-0.20	eV per atom
SG	No. 123

No. 12
Here is a relaxed Hf2InH crystal from Alexandria via LeMat-Bulk. Energies are from PBE.

a b c (Å): 3.220 3.220 7.823
angles (deg): 78.12 78.12 60.00
Fractional coordinates of all 4 atoms:
In (0.500, 0.500, 0.500)
Hf (0.277, 0.277, 0.170)
Hf (0.723, 0.723, 0.830)
H (0.000, 0.000, 0.000)

Summary:
density of states at the Fermi level	0.70	states/eV/atom
offset from the most stable computed form	107.1	meV/atom
total DFT energy (no corrections)	-26.65	eV/cell
SG	No. 166

No. 13
Here is a relaxed La5Tl3Te12 crystal from Alexandria via LeMat-Bulk. Energies are from PBE.

a b c (Å): 16.708 16.708 16.708
angles (deg): 109.47 109.47 109.47
Fractional coordinates of all 80 atoms:
La (0.625, 0.750, 0.875)
Te (0.130, 0.185, 0.220)
Tl (0.375, 0.625, 0.250)
Te (0.630, 0.720, 0.685)
Te (0.410, 0.445, 0.130)
Tl (0.875, 0.125, 0.250)
La (0.000, 0.500, 0.000)
La (0.250, 0.875, 0.125)
La (0.500, 0.000, 0.500)
Te (0.870, 0.055, 0.590)
Tl (0.750, 0.875, 0.625)
Te (0.315, 0.535, 0.445)
La (0.000, 0.000, 0.500)
La (0.750, 0.125, 0.875)
La (0.750, 0.625, 0.375)
Te (0.685, 0.465, 0.555)
Te (0.945, 0.130, 0.910)
Te (0.535, 0.315, 0.945)
Te (0.445, 0.035, 0.315)
Te (0.280, 0.370, 0.815)
La (0.250, 0.375, 0.625)
Tl (0.250, 0.625, 0.875)
Tl (0.375, 0.750, 0.625)
Te (0.965, 0.410, 0.280)
La (0.125, 0.750, 0.375)
Te (0.590, 0.555, 0.870)
Tl (0.625, 0.250, 0.375)
La (0.875, 0.250, 0.625)
Te (0.410, 0.965, 0.780)
Te (0.220, 0.685, 0.130)
Te (0.185, 0.130, 0.720)
Te (0.555, 0.590, 0.370)
Te (0.780, 0.315, 0.870)
Te (0.630, 0.910, 0.445)
Te (0.720, 0.090, 0.035)
Te (0.945, 0.815, 0.535)
Te (0.910, 0.280, 0.465)
Tl (0.625, 0.375, 0.750)
Te (0.815, 0.870, 0.280)
Tl (0.875, 0.750, 0.125)
La (0.000, 0.500, 0.500)
Te (0.870, 0.815, 0.780)
La (0.500, 0.500, 0.000)
Tl (0.125, 0.250, 0.875)
La (0.875, 0.625, 0.750)
La (0.375, 0.125, 0.750)
Te (0.090, 0.370, 0.055)
Tl (0.750, 0.375, 0.125)
Te (0.370, 0.090, 0.555)
Te (0.780, 0.465, 0.410)
Te (0.055, 0.870, 0.090)
Tl (0.250, 0.125, 0.375)
Te (0.590, 0.035, 0.220)
Te (0.370, 0.280, 0.315)
Te (0.035, 0.445, 0.815)
La (0.125, 0.375, 0.250)
Te (0.055, 0.185, 0.465)
La (0.500, 0.500, 0.500)
Te (0.220, 0.535, 0.590)
La (0.625, 0.875, 0.250)
Te (0.555, 0.965, 0.685)
La (0.000, 0.000, 0.000)
Te (0.035, 0.590, 0.720)
Te (0.445, 0.410, 0.630)
Te (0.965, 0.555, 0.185)
Te (0.185, 0.055, 0.965)
Te (0.315, 0.780, 0.370)
Te (0.535, 0.220, 0.090)
La (0.500, 0.000, 0.000)
Te (0.090, 0.720, 0.535)
La (0.375, 0.250, 0.125)
Tl (0.125, 0.875, 0.750)
Te (0.720, 0.630, 0.185)
Te (0.910, 0.630, 0.945)
Te (0.465, 0.685, 0.055)
Te (0.465, 0.780, 0.910)
Te (0.685, 0.220, 0.630)
Te (0.130, 0.945, 0.410)
Te (0.815, 0.945, 0.035)
Te (0.280, 0.910, 0.965)

Summary:
formation energy without anion corrections	-0.710	eV/atom
density of states at the Fermi level	0.84	states/eV/atom
total DFT energy (no corrections)	-334.51	eV/cell
SG	No. 230

No. 14
Here is a relaxed SmCuO3 crystal from Alexandria via LeMat-Bulk. Energies are from PBE.

a b c (Å): 5.337 6.438 7.110
angles (deg): 90.00 90.00 90.00
Fractional coordinates of all 20 atoms:
O (0.712, 0.345, 0.048)
O (0.788, 0.845, 0.048)
Cu (0.000, 0.500, 0.000)
Sm (0.526, 0.605, 0.250)
O (0.212, 0.155, 0.952)
O (0.712, 0.345, 0.452)
O (0.212, 0.155, 0.548)
O (0.385, 0.959, 0.250)
Cu (0.500, 0.000, 0.500)
O (0.115, 0.459, 0.250)
Sm (0.474, 0.395, 0.750)
O (0.288, 0.655, 0.952)
O (0.288, 0.655, 0.548)
Cu (0.500, 0.000, 0.000)
O (0.885, 0.541, 0.750)
O (0.788, 0.845, 0.452)
Cu (0.000, 0.500, 0.500)
Sm (0.974, 0.105, 0.250)
Sm (0.026, 0.895, 0.750)
O (0.615, 0.041, 0.750)

Summary:
formation energy without anion corrections	-1.990	eV/atom
density of states at the Fermi level	0.16	states/eV/atom
total DFT energy (no corrections)	-134.55	eV/cell
SG	No. 62

No. 15
Here is a relaxed RbCeNpS4 crystal from Alexandria via LeMat-Bulk. Energies are from PBE.

a b c (Å): 8.423 8.557 8.677
angles (deg): 120.47 90.00 119.48
Fractional coordinates of all 14 atoms:
S (0.269, 0.538, 0.318)
Ce (0.500, 0.000, 0.000)
Ce (0.500, 0.000, 0.500)
S (0.731, 0.462, 0.682)
Np (0.000, 0.500, 0.500)
S (0.685, 0.950, 0.725)
S (0.735, 0.050, 0.275)
S (0.265, 0.950, 0.725)
S (0.731, 0.462, 0.280)
S (0.315, 0.050, 0.275)
S (0.269, 0.538, 0.720)
Rb (0.130, 0.260, 0.880)
Rb (0.870, 0.740, 0.120)
Np (0.500, 0.500, 0.500)

Summary:
formation energy without anion corrections	-1.539	eV/atom
density of states at the Fermi level	1.94	states/eV/atom
total DFT energy (no corrections)	-94.25	eV/cell
SG	No. 74

No. 16
Here is a relaxed PrMg2 crystal from Alexandria via LeMat-Bulk. Energies are from PBE.

a b c (Å): 3.505 3.505 7.170
angles (deg): 104.15 104.15 90.00
Fractional coordinates of all 3 atoms:
Mg (0.321, 0.321, 0.641)
Mg (0.679, 0.679, 0.359)
Pr (0.000, 0.000, 0.000)

Summary:
density of states at the Fermi level	1.37	states/eV/atom
total DFT energy (no corrections)	-8.14	eV/cell
formation energy from the elements	-0.06	eV per atom
SG	No. 139

No. 17
Here is a relaxed LiPuZr2 crystal from Alexandria via LeMat-Bulk. Energies are from PBE.

a b c (Å): 3.215 3.215 8.441
angles (deg): 90.00 90.00 90.00
Fractional coordinates of all 4 atoms:
Pu (0.500, 0.500, 0.500)
Zr (0.000, 0.000, 0.766)
Li (0.500, 0.500, 0.000)
Zr (0.000, 0.000, 0.234)

Summary:
density of states at the Fermi level	1.54	states/eV/atom
offset from the most stable computed form	0.0	meV/atom
total DFT energy (no corrections)	-32.51	eV/cell
formation energy from the elements	0.21	eV per atom
SG	No. 123

No. 18
Here is a relaxed Tb3ZnPd crystal from Alexandria via LeMat-Bulk. Energies are from PBE.

a b c (Å): 3.765 8.927 8.930
angles (deg): 65.62 90.00 90.00
Fractional coordinates of all 10 atoms:
Tb (0.363, 0.354, 0.406)
Tb (0.863, 0.616, 0.050)
Pd (0.363, 0.695, 0.246)
Tb (0.363, 0.035, 0.087)
Tb (0.864, 0.997, 0.668)
Zn (0.863, 0.194, 0.247)
Zn (0.363, 0.694, 0.746)
Pd (0.364, 0.194, 0.747)
Tb (0.863, 0.772, 0.443)
Tb (0.864, 0.391, 0.824)

Summary:
density of states at the Fermi level	0.88	states/eV/atom
offset from the most stable computed form	168.7	meV/atom
total DFT energy (no corrections)	-43.67	eV/cell
formation energy from the elements	-0.30	eV per atom
SG	No. 38

No. 19
Here is a relaxed Ba2Tl2Sn crystal from Alexandria via LeMat-Bulk. Energies are from PBE.

a b c (Å): 4.989 7.068 11.832
angles (deg): 80.65 77.83 69.34
Fractional coordinates of all 10 atoms:
Tl (0.838, 0.768, 0.555)
Tl (0.162, 0.232, 0.445)
Ba (0.315, 0.254, 0.117)
Sn (0.805, 0.066, 0.324)
Ba (0.685, 0.746, 0.883)
Sn (0.195, 0.934, 0.676)
Tl (0.038, 0.815, 0.109)
Tl (0.962, 0.185, 0.891)
Ba (0.503, 0.657, 0.338)
Ba (0.497, 0.343, 0.662)

Summary:
density of states at the Fermi level	0.60	states/eV/atom
offset from the most stable computed form	0.0	meV/atom
total DFT energy (no corrections)	-29.79	eV/cell
formation energy from the elements	-0.46	eV per atom
SG	No. 12

No. 20
Here is a relaxed ThVGa2 crystal from Alexandria via LeMat-Bulk. Energies are from PBE.

a b c (Å): 4.330 4.330 5.799
angles (deg): 68.08 68.08 60.00
Fractional coordinates of all 4 atoms:
Th (0.000, 0.000, 0.000)
V (0.500, 0.500, 0.500)
Ga (0.214, 0.214, 0.357)
Ga (0.786, 0.786, 0.643)

Summary:
density of states at the Fermi level	1.00	states/eV/atom
total DFT energy (no corrections)	-23.40	eV/cell
formation energy from the elements	-0.20	eV per atom
SG	No. 166

| no. | volume (Å³ per cell) |
| --- | --- |
| 1 | 178.9 |
| 2 | 62.8 |
| 3 | 85.4 |
| 4 | 84.4 |
| 5 | 79.7 |
| 6 | 322.4 |
| 7 | 328.1 |
| 8 | 75.6 |
| 9 | 72.8 |
| 10 | 147.3 |
| 11 | 59.3 |
| 12 | 68.2 |
| 13 | 3590.6 |
| 14 | 244.3 |
| 15 | 442.5 |
| 16 | 82.7 |
| 17 | 87.3 |
| 18 | 273.4 |
| 19 | 379.8 |
| 20 | 85.0 |